No. 1
The following is a DFT calculation (PBE) of a geometry-optimized TmIr2 structure.

Lattice parameters (Å, degrees): 4.4269 4.4269 4.4269 60.00 60.00 60.00
Closest atoms and distances in Å follow each position.
Sites, in units of the cell vectors:
1 Ir 0.2500 0.2500 0.2500  4 Tm 2.71
2 Ir 0.7500 0.7500 0.7500  4 Tm 2.71
3 Tm 0.0000 0.0000 0.0000  8 Ir 2.71

Summary:
Spin magnetization, Bohr magnetons per cell: 0.01
Calculated formation energy, eV/atom: 0.32

No. 2
The following is a DFT calculation (PBE) of a geometry-optimized ScCuPdPb structure.

Lattice parameters (Å, degrees): 4.6909 4.6909 4.6909 60.00 60.00 60.00
Closest atoms and distances in Å follow each position.
Sites, in units of the cell vectors:
1 Pb 0.2500 0.2500 0.2500  4 Pd 2.87, 4 Sc 2.87
2 Cu 0.7500 0.7500 0.7500  4 Pd 2.87, 4 Sc 2.87
3 Pd 0.5000 0.5000 0.5000  4 Cu 2.87, 4 Pb 2.87
4 Sc 0.0000 0.0000 0.0000  4 Cu 2.87, 4 Pb 2.87

Summary:
Calculated total energy, eV per atom: -5.039
Spin magnetization, Bohr magnetons per cell: 0.00

No. 3
The following is a DFT calculation (PBE) of a geometry-optimized ZrTl2Ag structure.

Lattice parameters (Å, degrees): 5.0687 5.0687 5.0687 60.00 60.00 60.00
Closest atoms and distances in Å follow each position.
Sites, in units of the cell vectors:
1 Tl 0.5000 0.5000 0.5000  4 Tl 3.10, 4 Zr 3.10
2 Ag 0.0000 0.0000 0.0000  4 Tl 3.10, 4 Zr 3.10
3 Tl 0.7500 0.7500 0.7500  4 Tl 3.10, 4 Ag 3.10
4 Zr 0.2500 0.2500 0.2500  4 Tl 3.10, 4 Ag 3.10

Summary:
Calculated total energy, eV per atom: -3.735
Spin magnetization, Bohr magnetons per cell: 0.07